1.
VASP calculation (PBE) on a relaxed Pr2EuTh crystal.

Lattice parameters (Å, degrees): 12.9475 12.9475 12.9475 16.14 16.14 16.14
Closest atoms and distances in Å follow each position.
Element x y z (fractional)
Pr1 0.0919 0.0919 0.0919  1 Eu 3.52, 3 Th 3.55, 6 Pr 3.64
Pr2 0.9081 0.9081 0.9081  1 Eu 3.52, 3 Th 3.55, 6 Pr 3.64
Eu1 0.0000 0.0000 0.0000  2 Pr 3.52, 6 Eu 3.64
Th1 0.5000 0.5000 0.5000  6 Pr 3.55, 6 Th 3.64

density of states at the Fermi level	1.04	states/eV/atom
ΔH_f (0 K)	10.89	kJ/mol of atoms
V	146	Å³/f.u.
excess energy over the best structure of this formula in the dataset	0	meV/atom

=====

2.
VASP calculation (PBE) on a relaxed Pr2EuTh crystal.

Lattice parameters (Å, degrees): 5.2264 5.2264 5.1672 90.00 90.00 90.00
Closest atoms and distances in Å follow each position.
Element x y z (fractional)
Pr1 0.0000 0.5000 0.0000  4 Th 3.67, 4 Eu 3.67, 4 Pr 3.70
Pr2 0.5000 0.0000 0.0000  4 Th 3.67, 4 Eu 3.67, 4 Pr 3.70
Eu1 0.0000 0.0000 0.5000  8 Pr 3.67, 4 Th 3.70
Th1 0.5000 0.5000 0.5000  8 Pr 3.67, 4 Eu 3.70

density of states at the Fermi level	1.37	states/eV/atom
ΔH_f (0 K)	12.19	kJ/mol of atoms
V	141	Å³/f.u.
excess energy over the best structure of this formula in the dataset	13	meV/atom

=====

3.
VASP calculation (PBE) on a relaxed PrEuTh crystal.

Lattice parameters (Å, degrees): 8.4159 8.4159 8.4159 154.83 154.83 35.89
Closest atoms and distances in Å follow each position.
Element x y z (fractional)
Pr1 0.0000 0.0000 0.0000  4 Th 3.55, 4 Pr 3.67, 4 Eu 3.93
Eu1 0.3159 0.3159 0.0000  4 Eu 3.67, 4 Th 3.70, 4 Pr 3.93
Th1 0.6515 0.6515 0.0000  4 Pr 3.55, 4 Th 3.67, 4 Eu 3.70

density of states at the Fermi level	1.21	states/eV/atom
ΔH_f (0 K)	8.44	kJ/mol of atoms
V	108	Å³/f.u.
excess energy over the best structure of this formula in the dataset	6	meV/atom

=====

4.
VASP calculation (PBE) on a relaxed Pr2EuTh crystal.

Lattice parameters (Å, degrees): 5.8745 5.8745 5.8745 60.00 60.00 60.00
Closest atoms and distances in Å follow each position.
Element x y z (fractional)
Pr1 0.2500 0.2500 0.2500  4 Th 3.60, 4 Eu 3.60
Pr2 0.7500 0.7500 0.7500  4 Th 3.60, 4 Eu 3.60
Eu1 0.0000 0.0000 0.0000  8 Pr 3.60
Th1 0.5000 0.5000 0.5000  8 Pr 3.60

density of states at the Fermi level	2.40	states/eV/atom
ΔH_f (0 K)	21.79	kJ/mol of atoms
V	143	Å³/f.u.
excess energy over the best structure of this formula in the dataset	113	meV/atom

=====

5.
VASP calculation (PBE) on a relaxed PrEuTh crystal.

Lattice parameters (Å, degrees): 3.6708 3.6708 9.1680 90.00 90.00 120.00
Closest atoms and distances in Å follow each position.
Element x y z (fractional)
Pr1 0.0000 0.0000 0.0000  3 Th 3.56, 6 Pr 3.67, 3 Eu 3.92
Eu1 0.6667 0.3333 0.3593  6 Eu 3.67, 3 Th 3.68, 3 Pr 3.92
Th1 0.3333 0.6667 0.6874  3 Pr 3.56, 6 Th 3.67, 3 Eu 3.68

density of states at the Fermi level	1.42	states/eV/atom
ΔH_f (0 K)	7.81	kJ/mol of atoms
V	107	Å³/f.u.
excess energy over the best structure of this formula in the dataset	0	meV/atom

=====

6.
VASP calculation (PBE) on a relaxed PrEuTmTh crystal.

Lattice parameters (Å, degrees): 5.7780 5.7780 5.7780 60.00 60.00 60.00
Closest atoms and distances in Å follow each position.
Element x y z (fractional)
Pr1 0.0000 0.0000 0.0000  4 Tm 3.54, 4 Eu 3.54
Eu1 0.2500 0.2500 0.2500  4 Th 3.54, 4 Pr 3.54
Tm1 0.7500 0.7500 0.7500  4 Pr 3.54, 4 Th 3.54
Th1 0.5000 0.5000 0.5000  4 Tm 3.54, 4 Eu 3.54

density of states at the Fermi level	1.73	states/eV/atom
ΔH_f (0 K)	19.54	kJ/mol of atoms
V	136	Å³/f.u.

=====

7.
VASP calculation (PBE) on a relaxed Pr2EuTi crystal.

Lattice parameters (Å, degrees): 11.6454 11.6454 11.6454 17.54 17.54 17.54
Closest atoms and distances in Å follow each position.
Element x y z (fractional)
Pr1 0.2388 0.2388 0.2388  3 Ti 3.22, 6 Pr 3.55
Pr2 0.7612 0.7612 0.7612  3 Ti 3.22, 6 Pr 3.55
Eu1 0.0000 0.0000 0.0000  6 Eu 3.55, 6 Pr 3.84
Ti1 0.5000 0.5000 0.5000  6 Pr 3.22, 6 Ti 3.55

density of states at the Fermi level	1.42	states/eV/atom
ΔH_f (0 K)	26.62	kJ/mol of atoms
V	125	Å³/f.u.

=====

8.
VASP calculation (PBE) on a relaxed PrEu2Tl crystal.

Lattice parameters (Å, degrees): 5.7063 5.7063 5.7063 60.00 60.00 60.00
Closest atoms and distances in Å follow each position.
Element x y z (fractional)
Pr1 0.0000 0.0000 0.0000  8 Eu 3.49
Eu1 0.2500 0.2500 0.2500  4 Tl 3.49, 4 Pr 3.49
Eu2 0.7500 0.7500 0.7500  4 Pr 3.49, 4 Tl 3.49
Tl1 0.5000 0.5000 0.5000  8 Eu 3.49

density of states at the Fermi level	1.17	states/eV/atom
ΔH_f (0 K)	-5.29	kJ/mol of atoms
V	131	Å³/f.u.
excess energy over the best structure of this formula in the dataset	119	meV/atom